1.
Below is a geometry-optimized Y6Bi3H structure, with properties calculated at the PBE level.

Lattice parameters (Å, degrees): 10.3665 10.3665 5.0479 90.00 90.00 102.87
Last column: nearest neighbours and their distance in Å.
Atoms (fractional coordinates):
Y: 0.0746 0.9254 0.5000  1 H 2.18
Y: 0.0814 0.5859 0.4982  1 H 2.27
Y: 0.2532 0.7468 0.9953  1 H 2.29
Y: 0.2566 0.4092 0.9989  6 Bi 3.32-3.52, 4 Y 3.51-3.53
Y: 0.4092 0.2566 0.4989  6 Bi 3.32-3.52, 4 Y 3.51-3.53
Y: 0.4141 0.9186 0.4982  1 H 2.27
Y: 0.5859 0.0814 0.9982  1 H 2.27
Y: 0.5908 0.7434 0.9989  6 Bi 3.32-3.52, 4 Y 3.51-3.53
Y: 0.7434 0.5908 0.4989  6 Bi 3.32-3.52, 4 Y 3.51-3.53
Y: 0.7468 0.2532 0.4953  1 H 2.29
Y: 0.9186 0.4141 0.9982  1 H 2.27
Y: 0.9254 0.0746 0.0000  1 H 2.18
Bi: 0.0705 0.2624 0.5008  10 Y 3.32-3.53, 1 H 3.56
Bi: 0.2624 0.0705 0.0008  10 Y 3.32-3.53, 1 H 3.56
Bi: 0.4057 0.5943 0.4965  1 H 3.23, 10 Y 3.33-3.54
Bi: 0.5943 0.4057 0.9965  1 H 3.23, 10 Y 3.33-3.54
Bi: 0.7376 0.9295 0.5008  10 Y 3.32-3.53, 1 H 3.56
Bi: 0.9295 0.7376 0.0008  10 Y 3.32-3.53, 1 H 3.56
H: 0.2073 0.7927 0.5666  4 Y 2.18-2.29
H: 0.7927 0.2073 0.0666  4 Y 2.18-2.29

Values from the calculation:
The space group is Cmc2_1 (36). For the electronic total energy, the calculation gives -0.437 Ry/atom.

2.
Below is a geometry-optimized Y3Bi2H structure, with properties calculated at the PBE level.

Lattice parameters (Å, degrees): 7.2065 7.2065 7.9524 98.38 98.38 52.10
Last column: nearest neighbours and their distance in Å.
Atoms (fractional coordinates):
Y: 0.1399 0.8601 0.7500  1 H 2.14
Y: 0.2547 0.4505 0.3295  1 H 2.24
Y: 0.4505 0.2547 0.8295  1 H 2.24
Y: 0.5495 0.7453 0.1705  1 H 2.24
Y: 0.7453 0.5495 0.6705  1 H 2.24
Y: 0.8601 0.1399 0.2500  1 H 2.14
Bi: 0.0983 0.2295 0.0180  5 Y 3.04-3.24, 1 Bi 3.27
Bi: 0.2295 0.0983 0.5180  5 Y 3.04-3.24, 1 Bi 3.27
Bi: 0.7705 0.9017 0.4820  5 Y 3.04-3.24, 1 Bi 3.27
Bi: 0.9017 0.7705 0.9820  5 Y 3.04-3.24, 1 Bi 3.27
H: 0.4778 0.5222 0.7500  3 Y 2.14-2.24
H: 0.5222 0.4778 0.2500  3 Y 2.14-2.24

Values from the calculation:
The space group is C2/c (15). For the electronic total energy, the calculation gives -0.415 Ry/atom.

3.
Below is a geometry-optimized Y3Bi3H2 structure, with properties calculated at the PBE level.

Lattice parameters (Å, degrees): 6.2411 6.2411 15.6700 90.00 90.00 142.29
Last column: nearest neighbours and their distance in Å.
Atoms (fractional coordinates):
Y: 0.1485 0.8515 0.5509  3 H 2.20-2.23
Y: 0.1485 0.8515 0.9491  3 H 2.20-2.23
Y: 0.1501 0.8499 0.2500  7 Bi 3.20-3.31, 2 H 3.38
Y: 0.8499 0.1501 0.7500  7 Bi 3.20-3.31, 2 H 3.38
Y: 0.8515 0.1485 0.0509  3 H 2.20-2.23
Y: 0.8515 0.1485 0.4491  3 H 2.20-2.23
Bi: 0.1299 0.8701 0.7500  5 Y 3.13-3.31
Bi: 0.4388 0.5612 0.6066  7 Y 3.20-3.54, 4 H 3.21-3.52
Bi: 0.4388 0.5612 0.8934  7 Y 3.20-3.54, 4 H 3.21-3.52
Bi: 0.5612 0.4388 0.1066  7 Y 3.20-3.54, 4 H 3.21-3.52
Bi: 0.5612 0.4388 0.3934  7 Y 3.20-3.54, 4 H 3.21-3.52
Bi: 0.8701 0.1299 0.2500  5 Y 3.13-3.31
H: 0.2713 0.7287 0.0543  3 Y 2.20-2.23
H: 0.2713 0.7287 0.4457  3 Y 2.20-2.23
H: 0.7287 0.2713 0.5543  3 Y 2.20-2.23
H: 0.7287 0.2713 0.9457  3 Y 2.20-2.23

Values from the calculation:
The space group is Cmcm (63). For the electronic total energy, the calculation gives -0.393 Ry/atom.

4.
Below is a geometry-optimized YBiH structure, with properties calculated at the PBE level.

Lattice parameters (Å, degrees): 4.0279 6.2102 6.2774 104.22 108.70 108.91
Last column: nearest neighbours and their distance in Å.
Atoms (fractional coordinates):
Y: 0.0403 0.2450 0.3362  3 H 2.17-2.22
Y: 0.9597 0.7550 0.6638  3 H 2.17-2.22
Bi: 0.2476 0.7714 0.2261  3 H 3.10-3.22, 2 Bi 3.27-3.32, 6 Y 3.28-3.40
Bi: 0.7524 0.2286 0.7739  3 H 3.10-3.22, 2 Bi 3.27-3.32, 6 Y 3.28-3.40
H: 0.3732 0.5926 0.6524  3 Y 2.17-2.22
H: 0.6268 0.4074 0.3476  3 Y 2.17-2.22

Values from the calculation:
The space group is P-1 (2). The energy above the most stable polymorph in this dataset is 0.000 eV/f.u.

5.
Below is a geometry-optimized Y3BiH2 structure, with properties calculated at the PBE level.

Lattice parameters (Å, degrees): 11.2373 11.2373 6.2201 103.70 103.70 20.46
Last column: nearest neighbours and their distance in Å.
Atoms (fractional coordinates):
Y: 0.0398 0.0398 0.2758  2 H 2.24-2.29
Y: 0.2304 0.2304 0.2080  3 H 2.19-2.32
Y: 0.3994 0.3994 0.1442  3 H 2.29-2.33
Y: 0.6006 0.6006 0.8558  3 H 2.29-2.33
Y: 0.7696 0.7696 0.7920  3 H 2.19-2.32
Y: 0.9602 0.9602 0.7242  2 H 2.24-2.29
Bi: 0.3497 0.3497 0.5878  1 H 3.02, 7 Y 3.09-3.37
Bi: 0.6503 0.6503 0.4122  1 H 3.02, 7 Y 3.09-3.37
H: 0.0586 0.0586 0.9294  4 Y 2.24-2.29
H: 0.2926 0.2926 0.9827  4 Y 2.19-2.33
H: 0.7074 0.7074 0.0173  4 Y 2.19-2.33
H: 0.9414 0.9414 0.0706  4 Y 2.24-2.29

Values from the calculation:
The space group is C2/m (12). For the electronic total energy, the calculation gives -0.407 Ry/atom.

6.
Below is a geometry-optimized Y3BiH structure, with properties calculated at the PBE level.

Lattice parameters (Å, degrees): 4.8626 4.8626 4.8626 90.00 90.00 90.00
Last column: nearest neighbours and their distance in Å.
Atoms (fractional coordinates):
Y: 0.0000 0.0000 0.5000  2 H 2.43
Y: 0.0000 0.5000 0.0000  2 H 2.43
Y: 0.5000 0.0000 0.0000  2 H 2.43
Bi: 0.5000 0.5000 0.5000  12 Y 3.44
H: 0.0000 0.0000 0.0000  6 Y 2.43

Values from the calculation:
The space group is Pm-3m (221). The energy above the most stable polymorph in this dataset is 0.146 eV/f.u.

7.
Below is a geometry-optimized Y2BiH3 structure, with properties calculated at the PBE level.

Lattice parameters (Å, degrees): 7.6737 7.6737 7.2449 113.53 113.53 29.72
Last column: nearest neighbours and their distance in Å.
Atoms (fractional coordinates):
Y: 0.0290 0.0290 0.2708  5 H 2.16-2.31
Y: 0.3027 0.3027 0.3296  2 H 2.13-2.27
Y: 0.6973 0.6973 0.6704  2 H 2.13-2.27
Y: 0.9710 0.9710 0.7292  5 H 2.16-2.31
Bi: 0.3647 0.3647 0.9531  7 Y 3.17-3.33, 7 H 3.22-3.49
Bi: 0.6353 0.6353 0.0469  7 Y 3.17-3.33, 7 H 3.22-3.49
H: 0.0941 0.0941 0.6210  1 H 2.14, 2 Y 2.27-2.31
H: 0.1919 0.1919 0.4717  1 H 2.14, 2 Y 2.25-2.27
H: 0.4387 0.4387 0.5935  3 Y 2.13-2.16
H: 0.5613 0.5613 0.4065  3 Y 2.13-2.16
H: 0.8081 0.8081 0.5283  1 H 2.14, 2 Y 2.25-2.27
H: 0.9059 0.9059 0.3790  1 H 2.14, 2 Y 2.27-2.31

Values from the calculation:
The space group is C2/m (12). For the electronic total energy, the calculation gives -0.381 Ry/atom.

8.
Below is a geometry-optimized Y2Bi2H structure, with properties calculated at the PBE level.

Lattice parameters (Å, degrees): 8.1490 8.1490 7.8299 90.00 90.00 149.11
Last column: nearest neighbours and their distance in Å.
Atoms (fractional coordinates):
Y: 0.0681 0.9319 0.5000  1 H 2.21
Y: 0.3525 0.6475 0.3456  2 H 2.32
Y: 0.6475 0.3525 0.8456  2 H 2.32
Y: 0.9319 0.0681 0.0000  1 H 2.21
Bi: 0.2832 0.7168 0.9688  1 H 3.11, 5 Y 3.14-3.20, 1 Bi 3.42
Bi: 0.4524 0.5476 0.6930  6 Y 3.14-3.29, 2 H 3.37, 1 Bi 3.42
Bi: 0.5476 0.4524 0.1930  6 Y 3.14-3.29, 2 H 3.37, 1 Bi 3.42
Bi: 0.7168 0.2832 0.4688  1 H 3.11, 5 Y 3.14-3.20, 1 Bi 3.42
H: 0.1125 0.8875 0.7677  3 Y 2.21-2.32
H: 0.8875 0.1125 0.2677  3 Y 2.21-2.32

Values from the calculation:
The space group is Cmc2_1 (36). The energy above the most stable polymorph in this dataset is 0.000 eV/f.u.

9.
Below is a geometry-optimized YBiH structure, with properties calculated at the PBE level.

Lattice parameters (Å, degrees): 3.8094 3.8094 4.8553 90.00 90.00 120.00
Last column: nearest neighbours and their distance in Å.
Atoms (fractional coordinates):
Y: 0.0000 0.0000 0.0000  3 H 2.20
Bi: 0.6667 0.3333 0.5000  6 Y 3.28, 6 H 3.28
H: 0.3333 0.6667 0.0000  3 Y 2.20

Values from the calculation:
The space group is P-6m2 (187). The energy above the most stable polymorph in this dataset is 0.006 eV/f.u.

10.
Below is a geometry-optimized Y3Bi2H2 structure, with properties calculated at the PBE level.

Lattice parameters (Å, degrees): 4.1779 6.3704 6.6056 71.72 71.63 70.97
Last column: nearest neighbours and their distance in Å.
Atoms (fractional coordinates):
Y: 0.0000 0.0000 0.0000  2 H 2.25
Y: 0.1828 0.3844 0.2493  3 H 2.26-2.40
Y: 0.8172 0.6156 0.7507  3 H 2.26-2.40
Bi: 0.4209 0.7976 0.3596  7 Y 3.10-3.45, 1 H 3.46
Bi: 0.5791 0.2024 0.6404  7 Y 3.10-3.45, 1 H 3.46
H: 0.2103 0.6513 0.9277  4 Y 2.25-2.40
H: 0.7897 0.3487 0.0723  4 Y 2.25-2.40

Values from the calculation:
The space group is P-1 (2). For the electronic total energy, the calculation gives -0.408 Ry/atom.

11.
Below is a geometry-optimized Y5Bi4H structure, with properties calculated at the PBE level.

Lattice parameters (Å, degrees): 7.6052 7.6052 7.6052 99.85 99.85 131.14
Last column: nearest neighbours and their distance in Å.
Atoms (fractional coordinates):
Y: 0.0000 0.0000 0.0000  1 H 2.23
Y: 0.3007 0.7001 0.8031  5 Bi 3.09-3.15, 1 H 3.10
Y: 0.4976 0.3007 0.6006  5 Bi 3.09-3.15, 1 H 3.10
Y: 0.7001 0.8970 0.3994  5 Bi 3.09-3.15, 1 H 3.10
Y: 0.8970 0.4976 0.1969  5 Bi 3.09-3.15, 1 H 3.10
Bi: 0.0018 0.8014 0.6056  6 Y 3.09-3.15
Bi: 0.1957 0.3962 0.3944  6 Y 3.09-3.15
Bi: 0.3962 0.0018 0.2004  6 Y 3.09-3.15
Bi: 0.8014 0.1957 0.7996  6 Y 3.09-3.15
H: 0.6450 0.6450 0.0000  1 Y 2.23

Values from the calculation:
The space group is I4 (79). For the electronic total energy, the calculation gives -0.424 Ry/atom.

12.
Below is a geometry-optimized Y4Bi3H structure, with properties calculated at the PBE level.

Lattice parameters (Å, degrees): 9.8101 8.3950 6.3094 90.00 90.00 90.00
Last column: nearest neighbours and their distance in Å.
Atoms (fractional coordinates):
Y: 0.0000 0.0948 0.0000  1 H 2.37
Y: 0.0000 0.8328 0.4866  1 H 2.29
Y: 0.1956 0.7102 0.9995  1 H 2.39
Y: 0.3044 0.2898 0.4995  1 H 2.39
Y: 0.5000 0.1672 0.9866  1 H 2.29
Y: 0.5000 0.9052 0.5000  1 H 2.37
Y: 0.6956 0.2898 0.4995  1 H 2.39
Y: 0.8044 0.7102 0.9995  1 H 2.39
Bi: 0.0000 0.1931 0.5029  5 Y 3.03-3.28
Bi: 0.2330 0.3444 0.0016  5 Y 3.01-3.28
Bi: 0.2670 0.6556 0.5016  5 Y 3.01-3.28
Bi: 0.5000 0.8069 0.0029  5 Y 3.03-3.28
Bi: 0.7330 0.6556 0.5016  5 Y 3.01-3.28
Bi: 0.7670 0.3444 0.0016  5 Y 3.01-3.28
H: 0.0000 0.8361 0.8494  4 Y 2.29-2.39
H: 0.5000 0.1639 0.3494  4 Y 2.29-2.39

Values from the calculation:
The space group is Pmn2_1 (31). For the electronic total energy, the calculation gives -0.406 Ry/atom.